# Nd2TmGa3Ir4

An optimized crystal structure of Nd2TmGa3Ir4 (PBE-GGA, the Alexandria database).

Computed properties:
For the formation energy, the calculation gives -0.72 eV/atom. For the electronic total energy, the calculation gives -6.58 eV per atom. The magnetic moment comes out at 0.0 μB/f.u.

Cell: 4.2630 4.2630 11.0481 Å, 90.00 90.00 90.00°
Last column: nearest neighbours and their distance in Å.
Space group P-4m2 (No. 115)
One atom of each set of equivalent atoms:
Nd: 0.0000 0.5000 0.2238 (multiplicity 2)  4 Ga 3.23, 8 Ir 3.26-3.31
Tm: 0.0000 0.0000 0.5000 (multiplicity 1)  4 Ir 2.72, 4 Ga 3.01
Ga: 0.0000 0.5000 0.8814 (multiplicity 2)  5 Ir 2.50-2.52
Ga: 0.5000 0.5000 0.5000 (multiplicity 1)  4 Ir 2.72, 4 Tm 3.01
Ir: 0.0000 0.0000 0.0000 (multiplicity 1)  4 Ga 2.50
Ir: 0.0000 0.5000 0.6536 (multiplicity 2)  3 Ga 2.52-2.72, 2 Tm 2.72
Ir: 0.5000 0.5000 0.0000 (multiplicity 1)  4 Ga 2.50